# Rb3Pm3BiTe8 PBE-GGA optimized geometry
data_Rb3Pm3BiTe8
_symmetry_space_group_name_H-M 'P 1'
_symmetry_Int_Tables_number 1
_symmetry_space_group_name_Hall 'P 1'
_cell_length_a 9.075
_cell_length_b 9.075
_cell_length_c 10.270
_cell_angle_alpha 116.35
_cell_angle_beta 116.35
_cell_angle_gamma 59.86
loop_
_atom_site_label
_atom_site_fract_x
_atom_site_fract_y
_atom_site_fract_z
Rb1 0.000 0.000 0.000
Rb2 0.000 0.500 0.000
Rb3 0.500 0.000 0.000
Pm1 0.000 0.500 0.500
Pm2 0.500 0.000 0.500
Pm3 0.500 0.500 0.500
Bi1 0.000 0.000 0.500
Te1 0.235 0.235 0.702
Te2 0.235 0.732 0.702
Te3 0.265 0.265 0.295
Te4 0.268 0.765 0.298
Te5 0.732 0.235 0.702
Te6 0.735 0.735 0.705
Te7 0.765 0.268 0.298
Te8 0.765 0.765 0.298
# Energy ... -4.194 eV/atom
# Formation energy without anion corrections ... -1.116 eV/atom
# V ... 41.9 Å³/atom



# TaCrI3 PBE-GGA optimized geometry
data_TaCrI3
_symmetry_space_group_name_H-M 'P 1'
_symmetry_Int_Tables_number 1
_symmetry_space_group_name_Hall 'P 1'
_cell_length_a 5.548
_cell_length_b 5.548
_cell_length_c 5.548
_cell_angle_alpha 90.00
_cell_angle_beta 90.00
_cell_angle_gamma 90.00
loop_
_atom_site_label
_atom_site_fract_x
_atom_site_fract_y
_atom_site_fract_z
Ta1 0.000 0.000 0.000
Cr1 0.500 0.500 0.500
I1 0.000 0.000 0.500
I2 0.000 0.500 0.000
I3 0.500 0.000 0.000
# Energy ... -3.812 eV/atom
# Formation energy without anion corrections ... 1.413 eV/atom
# V ... 34.2 Å³/atom



# CrHgRu2 PBE-GGA optimized geometry
data_CrHgRu2
_symmetry_space_group_name_H-M 'P 1'
_symmetry_Int_Tables_number 1
_symmetry_space_group_name_Hall 'P 1'
_cell_length_a 3.976
_cell_length_b 3.976
_cell_length_c 3.920
_cell_angle_alpha 90.00
_cell_angle_beta 90.00
_cell_angle_gamma 90.00
loop_
_atom_site_label
_atom_site_fract_x
_atom_site_fract_y
_atom_site_fract_z
Cr1 0.000 0.000 0.000
Hg1 0.500 0.500 0.000
Ru1 0.000 0.500 0.500
Ru2 0.500 0.000 0.500
# Energy ... -6.622 eV/atom
# Formation enthalpy at 0 K ... 2.0 eV/f.u.
# V ... 15.5 Å³/atom



# ZrTi3O PBE-GGA optimized geometry
data_ZrTi3O
_symmetry_space_group_name_H-M 'P 1'
_symmetry_Int_Tables_number 1
_symmetry_space_group_name_Hall 'P 1'
_cell_length_a 4.830
_cell_length_b 4.830
_cell_length_c 4.830
_cell_angle_alpha 90.00
_cell_angle_beta 90.00
_cell_angle_gamma 90.00
loop_
_atom_site_label
_atom_site_fract_x
_atom_site_fract_y
_atom_site_fract_z
Zr1 0.000 0.000 0.000
Ti1 0.000 0.000 0.500
Ti2 0.000 0.500 0.000
Ti3 0.500 0.000 0.000
O1 0.500 0.500 0.500
# Energy ... -5.854 eV/atom
# Formation energy without anion corrections ... 1.584 eV/atom
# V ... 22.5 Å³/atom



# Ce6In3Au PBE-GGA optimized geometry
data_Ce6In3Au
_symmetry_space_group_name_H-M 'P 1'
_symmetry_Int_Tables_number 1
_symmetry_space_group_name_Hall 'P 1'
_cell_length_a 5.814
_cell_length_b 8.791
_cell_length_c 12.071
_cell_angle_alpha 90.00
_cell_angle_beta 117.51
_cell_angle_gamma 90.00
loop_
_atom_site_label
_atom_site_fract_x
_atom_site_fract_y
_atom_site_fract_z
Ce1 0.029 0.082 0.244
Ce2 0.029 0.418 0.744
Ce3 0.060 0.647 0.054
Ce4 0.060 0.853 0.554
Ce5 0.467 0.642 0.449
Ce6 0.467 0.858 0.949
Ce7 0.533 0.142 0.051
Ce8 0.533 0.358 0.551
Ce9 0.940 0.147 0.446
Ce10 0.940 0.353 0.946
Ce11 0.971 0.582 0.256
Ce12 0.971 0.918 0.756
In1 0.445 0.129 0.748
In2 0.445 0.371 0.248
In3 0.500 0.000 0.500
In4 0.500 0.500 0.000
In5 0.555 0.629 0.752
In6 0.555 0.871 0.252
Au1 0.000 0.000 0.000
Au2 0.000 0.500 0.500
# Energy ... -4.959 eV/atom
# Formation enthalpy at 0 K ... -2.5 eV/f.u.
# V ... 27.4 Å³/atom



# BaHo2Tl PBE-GGA optimized geometry
data_BaHo2Tl
_symmetry_space_group_name_H-M 'P 1'
_symmetry_Int_Tables_number 1
_symmetry_space_group_name_Hall 'P 1'
_cell_length_a 3.736
_cell_length_b 3.736
_cell_length_c 10.049
_cell_angle_alpha 90.00
_cell_angle_beta 90.00
_cell_angle_gamma 90.00
loop_
_atom_site_label
_atom_site_fract_x
_atom_site_fract_y
_atom_site_fract_z
Ba1 0.000 0.000 0.000
Ho1 0.500 0.500 0.307
Ho2 0.500 0.500 0.693
Tl1 0.000 0.000 0.500
# Energy ... -3.385 eV/atom
# Formation enthalpy at 0 K ... -0.1 eV/f.u.
# V ... 35.1 Å³/atom